# 1
# BeRu2W | Alexandria via LeMat-Bulk | PBE | relaxed
# Offset from the most stable computed form (eV/atom): 0.2655
# VASP energy (eV per atom): -8.750
# Spin magnetization (μB per formula unit): 0.00
# ρ (g/cm3): 12.26
data_BeRu2W
_chemical_formula_sum 'Be3 Ru6 W3'
_cell_length_a 2.7801
_cell_length_b 2.7801
_cell_length_c 23.9724
_cell_angle_alpha 90.00
_cell_angle_beta 90.00
_cell_angle_gamma 120.00
_space_group_name_H-M_alt 'R -3 m'
_space_group_IT_number 166
_space_group_name_Hall '-R 3 2"'
loop_
_atom_site_label
_atom_site_fract_x
_atom_site_fract_y
_atom_site_fract_z
Be1 0.0000 0.0000 0.0000
Ru1 0.0000 0.0000 0.2586
W1 0.0000 0.0000 0.5000


# 2
# BeRuW3 | Alexandria via LeMat-Bulk | PBE | relaxed
# Offset from the most stable computed form (eV/atom): 0.0000
# VASP energy (eV per atom): -9.572
# Spin magnetization (μB per formula unit): 0.00
# ρ (g/cm3): 14.82
data_BeRuW3
_chemical_formula_sum 'Be1 Ru1 W3'
_cell_length_a 4.2004
_cell_length_b 4.2004
_cell_length_c 4.2004
_cell_angle_alpha 90.00
_cell_angle_beta 90.00
_cell_angle_gamma 90.00
_space_group_name_H-M_alt 'P m -3 m'
_space_group_IT_number 221
_space_group_name_Hall '-P 4 2 3'
loop_
_atom_site_label
_atom_site_fract_x
_atom_site_fract_y
_atom_site_fract_z
Be1 0.0000 0.0000 0.0000
Ru1 0.5000 0.5000 0.5000
W1 0.0000 0.0000 0.5000


# 3
# BeRu2W | Alexandria via LeMat-Bulk | PBE | relaxed
# Offset from the most stable computed form (eV/atom): 0.2524
# VASP energy (eV per atom): -8.763
# Spin magnetization (μB per formula unit): 0.00
# ρ (g/cm3): 12.10
data_BeRu2W
_chemical_formula_sum 'Be1 Ru2 W1'
_cell_length_a 3.0652
_cell_length_b 3.0652
_cell_length_c 5.7717
_cell_angle_alpha 90.00
_cell_angle_beta 90.00
_cell_angle_gamma 90.00
_space_group_name_H-M_alt 'P 4 m m'
_space_group_IT_number 99
_space_group_name_Hall 'P 4 -2'
loop_
_atom_site_label
_atom_site_fract_x
_atom_site_fract_y
_atom_site_fract_z
Be1 0.0000 0.0000 0.0000
Ru1 0.0000 0.0000 0.4906
Ru2 0.5000 0.5000 0.1523
W1 0.5000 0.5000 0.7348